Record 1
Below is a relaxed TlCdAg2Cl6 crystal, with properties calculated at the PBE-GGA level.

POSCAR file:
```
TlCdAg2Cl6
1.0
5.882 -7.517 0.000
5.882 7.517 0.000
-3.880 0.000 7.398
Tl Cd Ag Cl
2 2 4 12
Cartesian
2.972 5.832 5.549
4.912 -5.832 1.850
4.912 4.640 1.850
2.972 -4.640 5.549
1.159 1.158 6.218
3.099 -1.158 2.519
4.785 1.158 4.879
6.725 -1.158 1.180
-1.093 1.092 5.080
0.894 3.747 6.958
0.847 -1.092 1.380
2.458 1.010 3.862
5.050 3.747 4.140
4.398 -1.010 0.163
3.486 1.010 7.236
2.834 -3.747 3.259
5.426 -1.010 3.537
7.038 1.092 6.018
6.990 -3.747 0.441
8.978 -1.092 2.319
```

Output
As for the symmetry: C2/c (15). For the energy relative to the elements, uncorrected, the calculation gives -0.697 eV/atom. The calculation puts the size of the total moment at 0.87 μB per formula unit.


Record 2
Below is a relaxed Tl4Cd3AgCl12 crystal, with properties calculated at the PBE-GGA level.

POSCAR file:
```
Tl4Cd3AgCl12
1.0
-5.223 5.223 5.223
5.223 -5.223 5.223
5.223 5.223 -5.223
Tl Cd Ag Cl
4 3 1 12
Cartesian
2.612 2.612 -2.612
2.612 -2.612 2.612
-2.612 2.612 2.612
2.612 2.612 2.612
5.223 0.000 0.000
0.000 5.223 0.000
0.000 0.000 5.223
0.000 0.000 0.000
2.620 0.000 0.000
7.827 0.000 0.000
5.223 2.612 0.000
5.223 0.000 2.612
0.000 2.620 0.000
0.000 0.000 2.620
2.612 5.223 0.000
2.612 0.000 5.223
0.000 7.827 0.000
0.000 0.000 7.827
0.000 5.223 2.612
0.000 2.612 5.223
```

Output
As for the symmetry: Im-3m (229). For the energy relative to the elements, uncorrected, the calculation gives -0.905 eV/atom. The calculation puts the size of the total moment at 0.00 μB per formula unit.


Record 3
Below is a relaxed Tl2CdAg2Cl6 crystal, with properties calculated at the PBE-GGA level.

POSCAR file:
```
Tl2CdAg2Cl6
1.0
6.959 -3.684 0.000
6.959 3.684 0.000
-3.888 0.000 6.247
Tl Cd Ag Cl
2 1 2 6
Cartesian
2.242 0.000 1.834
7.788 0.000 4.413
-1.944 0.000 3.123
5.576 0.000 0.546
4.455 0.000 5.701
3.463 1.870 4.264
-0.176 0.000 5.180
6.568 1.870 1.982
3.463 -1.870 4.264
10.206 0.000 1.067
6.568 -1.870 1.982
```

Output
As for the symmetry: C2/m (12). For the energy relative to the elements, uncorrected, the calculation gives -0.801 eV/atom. The calculation puts the size of the total moment at 0.00 μB per formula unit.


Record 4
Below is a relaxed Tl3CdAg2Cl6 crystal, with properties calculated at the PBE-GGA level.

POSCAR file:
```
Tl3CdAg2Cl6
1.0
7.455 0.000 0.000
-3.727 6.456 0.000
0.000 0.000 7.361
Tl Cd Ag Cl
3 1 2 6
Cartesian
0.000 0.000 0.000
0.000 4.304 4.701
3.727 2.152 2.660
0.000 0.000 3.681
0.000 4.304 0.480
3.727 2.152 6.881
0.000 2.224 2.207
-1.801 5.344 2.207
1.926 1.112 5.155
1.801 5.344 2.207
5.528 1.112 5.155
3.727 4.231 5.155
```

Output
As for the symmetry: P-3m1 (164). For the energy relative to the elements, uncorrected, the calculation gives -0.636 eV/atom. The calculation puts the size of the total moment at 0.00 μB per formula unit.


Record 5
Below is a relaxed TlCdAg2Cl crystal, with properties calculated at the PBE-GGA level.

POSCAR file:
```
TlCdAg2Cl
1.0
5.280 0.000 0.000
0.000 5.280 0.000
0.000 0.000 5.690
Tl Cd Ag Cl
1 1 2 1
Cartesian
0.000 0.000 0.000
2.640 2.640 2.845
0.000 2.640 2.845
2.640 0.000 2.845
2.640 2.640 0.000
```

Output
As for the symmetry: P4/mmm (123). For the energy relative to the elements, uncorrected, the calculation gives 0.114 eV/atom. The calculation puts the size of the total moment at 0.00 μB per formula unit.


Record 6
Below is a relaxed Tl3Cd2AgCl8 crystal, with properties calculated at the PBE-GGA level.

POSCAR file:
```
Tl3Cd2AgCl8
1.0
7.504 0.000 0.000
-3.752 6.498 0.000
0.000 0.000 9.183
Tl Cd Ag Cl
3 2 1 8
Cartesian
0.000 0.000 0.000
0.000 4.332 5.508
3.752 2.166 3.674
0.000 4.332 1.715
3.752 2.166 7.467
0.000 0.000 4.591
0.000 2.088 2.835
-1.944 5.455 2.835
1.808 1.044 6.347
0.000 4.332 8.473
3.752 2.166 0.709
1.944 5.455 2.835
5.696 1.044 6.347
3.752 4.411 6.347
```

Output
As for the symmetry: P-3m1 (164). For the energy relative to the elements, uncorrected, the calculation gives -0.917 eV/atom. The calculation puts the size of the total moment at 0.00 μB per formula unit.


Record 7
Below is a relaxed Tl2CdAgCl6 crystal, with properties calculated at the PBE-GGA level.

POSCAR file:
```
Tl2CdAgCl6
1.0
7.520 0.000 0.000
0.000 7.408 0.000
-7.232 0.000 10.126
Tl Cd Ag Cl
4 2 2 12
Cartesian
-0.015 0.341 2.506
-3.631 3.363 7.569
3.920 4.046 2.557
0.304 7.067 7.620
-3.616 0.000 5.063
0.000 3.704 0.000
3.760 0.000 0.000
0.144 3.704 5.063
-5.792 1.725 9.698
-2.176 1.980 4.635
-4.984 5.387 9.705
-1.368 5.726 4.642
-2.907 0.163 7.698
0.709 3.541 2.634
-0.421 3.867 7.492
3.195 7.245 2.429
1.656 1.682 5.485
5.272 2.022 0.421
2.465 5.429 5.492
6.081 5.684 0.429
```

Output
As for the symmetry: P2_1/c (14). For the energy relative to the elements, uncorrected, the calculation gives -0.817 eV/atom. The calculation puts the size of the total moment at 0.76 μB per formula unit.


Record 8
Below is a relaxed Tl3CdAg2Cl9 crystal, with properties calculated at the PBE-GGA level.

POSCAR file:
```
Tl3CdAg2Cl9
1.0
7.300 0.000 0.000
-3.650 6.322 0.000
0.000 0.000 8.959
Tl Cd Ag Cl
3 1 2 9
Cartesian
0.000 0.000 0.000
0.000 4.215 5.911
3.650 2.107 3.048
0.000 0.000 4.480
0.000 4.215 1.438
3.650 2.107 7.522
-1.825 3.161 0.000
0.000 2.121 2.962
-1.814 5.262 2.962
1.836 1.060 5.997
3.650 0.000 0.000
1.825 3.161 0.000
1.814 5.262 2.962
5.464 1.060 5.997
3.650 4.201 5.997
```

Output
As for the symmetry: P-3m1 (164). For the energy relative to the elements, uncorrected, the calculation gives -0.752 eV/atom. The calculation puts the size of the total moment at 0.00 μB per formula unit.